The following is a GGA-PBE calculation of an optimized crystal structure of Na5Tl12In2, from Alexandria via LeMat-Bulk.

Structure (extended XYZ):
```
19
Lattice="8.0511 -4.2767 0.0000 8.0511 4.2767 0.0000 -0.6715 0.0000 8.2251" Properties=species:S:1:pos:R:3 pbc="T T T"
Na 0.0000 0.0000 0.0000
Na 3.8962 0.0000 0.4374
Na 5.1161 0.0000 4.5566
Na 10.3146 0.0000 3.6684
Na 11.5344 0.0000 7.7877
Tl 4.9705 2.5606 2.2491
Tl 2.1540 0.0000 3.0526
Tl 5.6819 1.7239 7.3432
Tl 10.4601 2.5606 5.9760
Tl 9.7487 1.7239 0.8819
Tl 7.1793 0.0000 2.0283
Tl 8.2513 0.0000 6.1968
Tl 5.6819 -1.7239 7.3432
Tl 4.9705 -2.5606 2.2491
Tl 9.7487 -1.7239 0.8819
Tl 13.2766 0.0000 5.1725
Tl 10.4601 -2.5606 5.9760
In 7.7153 2.5488 4.1125
In 7.7153 -2.5488 4.1125
```

Output
- formation energy (meV/atom) = -38
- calculated density (Mg/m³) = 8.2
- space group = No. 12
- DFT total energy (eV/atom) = -2.168



The following is a GGA-PBE calculation of an optimized crystal structure of NaTl12In7, from Alexandria via LeMat-Bulk.

Structure (extended XYZ):
```
20
Lattice="6.7912 3.9209 3.7012 -6.7912 3.9209 3.7012 0.0000 -7.8418 3.7012" Properties=species:S:1:pos:R:3 pbc="T T T"
Na 0.0000 0.0000 0.0000
Tl -1.8703 -0.7280 2.7654
Tl -1.6200 -3.0522 5.3625
Tl -3.4533 -0.1232 5.7411
Tl 1.5656 -1.2557 2.7654
Tl 0.3047 1.9837 2.7654
Tl -1.8333 2.9290 5.3625
Tl 1.8333 -2.9290 5.7411
Tl -0.3047 -1.9837 8.3382
Tl -1.5656 1.2557 8.3382
Tl 3.4533 0.1232 5.3625
Tl 1.6200 3.0522 5.7411
Tl 1.8703 0.7279 8.3382
In -4.1450 2.1001 3.1769
In 0.2537 -4.6397 3.1769
In -3.8912 -2.5396 7.9267
In 0.0000 0.0000 5.5518
In 3.8913 2.5396 3.1769
In -0.2537 4.6397 7.9267
In 4.1450 -2.1001 7.9267
```

Output
- formation energy (meV/atom) = 11
- calculated density (Mg/m³) = 9.2
- space group = No. 148
- DFT total energy (eV/atom) = -2.434



What is the formation energy in the first record? -38 meV/atom



Among the records above, which one has the highest formation energy? NaTl12In7



Among the records above, which one has the highest calculated density? NaTl12In7



Which of these has the highest calculated density? NaTl12In7